This record from Alexandria via LeMat-Bulk describes an optimized crystal structure of Mg6HgPd. The functional is PBE.

abc: 4.7960 4.7960 7.8684
angles: 72.26 72.26 90.00
Sites, in units of the cell vectors:
1 Pd 0.0000 0.0000 0.0000
2 Mg 0.3898 0.8898 0.2203
3 Mg 0.8898 0.3898 0.2203
4 Mg 0.2448 0.2448 0.5103
5 Mg 0.1102 0.6102 0.7797
6 Mg 0.6102 0.1102 0.7797
7 Mg 0.7552 0.7552 0.4897
8 Hg 0.5000 0.5000 0.0000

Calculated values
Total moment in μB/f.u.: 0.00
Space-group type: I4/mmm
Energy relative to the elements in eV/atom: -0.24
Energy above the lowest structure with this stoichiometry in meV per atom: 0
Total energy in eV/atom: -2.120


This record from Alexandria via LeMat-Bulk describes an optimized crystal structure of K2PrBiS4. The functional is PBE.

abc: 4.2003 7.2678 7.7957
angles: 108.09 90.00 90.00
Sites, in units of the cell vectors:
1 S 0.0000 0.7379 0.2093
2 S 0.5000 0.2353 0.2099
3 S 0.0000 0.2621 0.7907
4 S 0.5000 0.7647 0.7901
5 Bi 0.0000 0.0000 0.0000
6 K 0.5000 0.0000 0.5000
7 K 0.0000 0.5000 0.5000
8 Pr 0.5000 0.5000 0.0000

Calculated values
Energy relative to the elements, uncorrected in eV/f.u.: -10.58
Total moment in μB/f.u.: 0.00
Space-group type: P2/m
Total energy in eV/atom: -4.744


This record from Alexandria via LeMat-Bulk describes an optimized crystal structure of Mn2CdBr. The functional is PBE.

abc: 3.2431 3.2431 8.7372
angles: 90.00 90.00 117.61
Sites, in units of the cell vectors:
1 Mn 0.0000 0.0000 0.4935
2 Mn 0.0000 0.0000 0.0065
3 Br 0.5000 0.5000 0.2500
4 Cd 0.5000 0.5000 0.7500

Calculated values
Energy relative to the elements, uncorrected in eV/f.u.: 1.55
Total moment in μB/f.u.: 8.26
Space-group type: Cmmm
Energy above the lowest structure with this stoichiometry in meV per atom: 178
Total energy in eV/atom: -4.845


This record from Alexandria via LeMat-Bulk describes an optimized crystal structure of Tb14PrSc. The functional is PBE.

abc: 7.1355 7.1355 11.4874
angles: 90.00 90.00 120.06
Sites, in units of the cell vectors:
1 Tb 0.8754 0.1246 0.7535
2 Tb 0.7091 0.7940 0.5000
3 Tb 0.3738 0.6262 0.2536
4 Tb 0.3735 0.1229 0.2516
5 Tb 0.8754 0.1246 0.2465
6 Tb 0.8771 0.6265 0.2516
7 Tb 0.8771 0.6265 0.7484
8 Tb 0.5405 0.9570 0.0000
9 Tb 0.0427 0.9573 0.0000
10 Tb 0.3738 0.6262 0.7464
11 Tb 0.5419 0.4581 0.0000
12 Tb 0.3735 0.1229 0.7484
13 Tb 0.2060 0.2909 0.5000
14 Tb 0.0430 0.4595 0.0000
15 Pr 0.7094 0.2906 0.5000
16 Sc 0.2079 0.7921 0.5000

Calculated values
Total moment in μB/f.u.: 0.00
Space-group type: Amm2
Energy relative to the elements in eV/atom: 0.01
Total energy in eV/atom: -4.738


This record from Alexandria via LeMat-Bulk describes an optimized crystal structure of CsBeTl2. The functional is PBE.

abc: 5.6833 5.6833 5.6833
angles: 60.00 60.00 60.00
Sites, in units of the cell vectors:
1 Tl 0.2500 0.2500 0.2500
2 Tl 0.7500 0.7500 0.7500
3 Cs 0.5000 0.5000 0.5000
4 Be 0.0000 0.0000 0.0000

Calculated values
Total moment in μB/f.u.: 0.00
Space-group type: Fm-3m
Energy relative to the elements in eV/atom: 0.66
Energy above the lowest structure with this stoichiometry in meV per atom: 393
Total energy in eV/atom: -1.665


This record from Alexandria via LeMat-Bulk describes an optimized crystal structure of Y3HPb. The functional is PBE.

abc: 5.3119 7.0056 6.7589
angles: 76.09 89.35 89.60
Sites, in units of the cell vectors:
1 Y 0.3420 0.9164 0.4698
2 Y 0.8391 0.5896 0.7503
3 Y 0.8385 0.7555 0.2200
4 Y 0.3443 0.4314 0.4361
5 Y 0.3448 0.2655 0.9664
6 Y 0.8413 0.1046 0.7167
7 H 0.0943 0.3523 0.7087
8 H 0.0890 0.6688 0.4777
9 Pb 0.8393 0.2369 0.2266
10 Pb 0.3439 0.7840 0.9598

Calculated values
Total moment in μB/f.u.: 0.00
Space-group type: P-1
Energy above the lowest structure with this stoichiometry in meV per atom: 6
Total energy in eV/atom: -5.745


This record from Alexandria via LeMat-Bulk describes an optimized crystal structure of YGa2CoAs. The functional is PBE.

abc: 4.4955 5.1250 4.4955
angles: 90.00 90.00 90.00
Sites, in units of the cell vectors:
1 Co 0.0000 0.0000 0.0000
2 Y 0.0000 0.5000 0.0000
3 Ga 0.0000 0.0000 0.5000
4 Ga 0.5000 0.0000 0.0000
5 As 0.5000 0.5000 0.5000

Calculated values
Total moment in μB/f.u.: 0.00
Space-group type: P4/mmm
Energy relative to the elements in eV/atom: -0.32
Total energy in eV/atom: -5.178


This record from Alexandria via LeMat-Bulk describes an optimized crystal structure of Pr4PtSe2I. The functional is PBE.

abc: 4.1920 7.6217 7.6669
angles: 71.94 90.00 90.00
Sites, in units of the cell vectors:
1 Pr 0.0000 0.2254 0.2757
2 Pr 0.5000 0.7394 0.2763
3 Pr 0.5000 0.2606 0.7237
4 Pr 0.0000 0.7746 0.7243
5 Se 0.0000 0.0000 0.0000
6 Se 0.5000 0.0000 0.5000
7 I 0.5000 0.5000 0.0000
8 Pt 0.0000 0.5000 0.5000

Calculated values
Energy relative to the elements, uncorrected in eV/f.u.: -11.20
Total moment in μB/f.u.: 0.00
Space-group type: P2/m
Total energy in eV/atom: -5.610


This record from Alexandria via LeMat-Bulk describes an optimized crystal structure of KAcSb2. The functional is PBE.

abc: 5.1219 5.1219 8.0700
angles: 71.50 71.50 60.00
Sites, in units of the cell vectors:
1 K 0.5000 0.5000 0.5000
2 Sb 0.2648 0.2648 0.2055
3 Sb 0.7352 0.7352 0.7945
4 Ac 0.0000 0.0000 0.0000

Calculated values
Energy relative to the elements, uncorrected in eV/f.u.: -1.94
Total moment in μB/f.u.: 0.00
Space-group type: R-3m
Energy above the lowest structure with this stoichiometry in meV per atom: 214
Total energy in eV/atom: -3.847


This record from Alexandria via LeMat-Bulk describes an optimized crystal structure of Zr3Ti2Pb3. The functional is PBE.

abc: 5.6881 8.4669 8.4669
angles: 120.00 90.00 90.00
Sites, in units of the cell vectors:
1 Pb 0.2500 0.4004 0.0000
2 Pb 0.7500 0.5996 0.0000
3 Pb 0.7500 0.4004 0.4004
4 Pb 0.7500 0.0000 0.5996
5 Pb 0.2500 0.0000 0.4004
6 Pb 0.2500 0.5996 0.5996
7 Zr 0.2500 0.7618 0.0000
8 Zr 0.7500 0.2382 0.0000
9 Zr 0.2500 0.2382 0.2382
10 Zr 0.2500 0.0000 0.7618
11 Zr 0.7500 0.0000 0.2382
12 Zr 0.7500 0.7618 0.7618
13 Ti 0.5000 0.6667 0.3333
14 Ti 0.5000 0.3333 0.6667
15 Ti 0.0000 0.6667 0.3333
16 Ti 0.0000 0.3333 0.6667

Calculated values
Total moment in μB/f.u.: 0.00
Space-group type: P6_3/mcm
Energy relative to the elements in eV/atom: -0.20
Total energy in eV/atom: -6.770


This record from Alexandria via LeMat-Bulk describes an optimized crystal structure of TmAsIO4. The functional is PBE.

abc: 6.6675 6.6675 6.7143
angles: 79.18 79.18 56.49
Sites, in units of the cell vectors:
1 O 0.7000 0.7000 0.4897
2 O 0.3000 0.3000 0.5103
3 O 0.8891 0.4751 0.8754
4 O 0.1109 0.5249 0.1246
5 O 0.5131 0.5131 0.2266
6 O 0.4751 0.8891 0.8754
7 O 0.4869 0.4869 0.7734
8 O 0.5249 0.1109 0.1246
9 Tm 0.2998 0.2998 0.8309
10 Tm 0.7002 0.7002 0.1691
11 I 0.0345 0.0345 0.2980
12 I 0.9655 0.9655 0.7020
13 As 0.6337 0.6337 0.7397
14 As 0.3663 0.3663 0.2603

Calculated values
Energy relative to the elements, uncorrected in eV/f.u.: -13.12
Total moment in μB/f.u.: 0.00
Space-group type: C2/m
Total energy in eV/atom: -6.232


This record from Alexandria via LeMat-Bulk describes an optimized crystal structure of PmSmH8Ir2. The functional is PBE.

abc: 4.8522 4.8522 6.7804
angles: 69.03 69.03 60.00
Sites, in units of the cell vectors:
1 Ir 0.2565 0.2565 0.2305
2 Ir 0.7435 0.7435 0.7695
3 Pm 0.5000 0.5000 0.5000
4 H 0.4707 0.8885 0.1706
5 H 0.8885 0.4701 0.1706
6 H 0.1115 0.5299 0.8294
7 H 0.5299 0.5293 0.8294
8 H 0.5293 0.1115 0.8294
9 H 0.1688 0.1688 0.4937
10 H 0.4701 0.4707 0.1706
11 H 0.8312 0.8312 0.5063
12 Sm 0.0000 0.0000 0.0000

Calculated values
Total moment in μB/f.u.: 0.00
Space-group type: R-3m
Total energy in eV/atom: -4.773